The following is a DFT calculation (PBE+U) of Li2Mn3F8 after structural relaxation.

## Properties
The energy above the most stable polymorph in this dataset is 0 meV per atom.

Cell: 5.3989 5.8490 6.0328 Å, 71.68 89.83 63.53°
Space group P-1 (No. 2)
Unique sites:
Li (0.0536, 0.4107, 0.2447) x2
Mn (0.2599, 0.9706, 0.8492) x2
Mn (0.5000, 0.5000, 0.5000) x1
F (0.0188, 0.7581, 0.9650) x2
F (0.0488, 0.7287, 0.4497) x2
F (0.4388, 0.2476, 0.8223) x2
F (0.4507, 0.2680, 0.3154) x2